Record 1
# Mn2Tl3Cl7

A relaxed Mn2Tl3Cl7 crystal (PBE, the Alexandria database).

The structure in POSCAR format:
```
Mn2Tl3Cl7
1.0
2.560 -12.821 0.000
2.560 12.821 0.000
0.000 0.000 5.004
Mn Tl Cl
2 3 7
Direct
0.101 0.899 0.000
0.899 0.101 0.000
0.317 0.683 0.500
0.500 0.500 0.500
0.683 0.317 0.500
0.000 0.000 0.000
0.097 0.903 0.500
0.196 0.804 0.000
0.403 0.597 0.000
0.597 0.403 0.000
0.804 0.196 0.000
0.903 0.097 0.500
```

Computed properties:
The energy above the lowest structure with this stoichiometry is 16 meV per atom. The calculation puts the calculated total energy at -4.23 eV per atom.

---

Record 2
# MnTl3Cl8

A relaxed MnTl3Cl8 crystal (PBE, the Alexandria database).

The structure in POSCAR format:
```
MnTl3Cl8
1.0
-3.444 3.444 6.727
3.444 -3.444 6.727
3.444 3.444 -6.727
Mn Tl Cl
1 3 8
Direct
0.000 0.000 0.000
0.250 0.750 0.500
0.500 0.500 0.000
0.750 0.250 0.500
0.112 0.112 0.466
0.112 0.646 0.000
0.354 0.354 0.466
0.354 0.888 0.000
0.646 0.112 0.000
0.646 0.646 0.534
0.888 0.354 0.000
0.888 0.888 0.534
```

Computed properties:
The calculation puts the calculated total energy at -3.21 eV per atom.

---

Record 3
# MnTl2Cl5

A relaxed MnTl2Cl5 crystal (PBE, the Alexandria database).

The structure in POSCAR format:
```
MnTl2Cl5
1.0
6.953 0.000 0.000
0.000 6.953 0.000
0.000 0.000 4.966
Mn Tl Cl
1 2 5
Direct
0.000 0.000 0.000
0.000 0.500 0.500
0.500 0.000 0.500
0.000 0.000 0.500
0.237 0.237 0.000
0.237 0.763 0.000
0.763 0.237 0.000
0.763 0.763 0.000
```

Computed properties:
The energy above the lowest structure with this stoichiometry is 8 meV per atom. The calculation puts the calculated total energy at -3.90 eV per atom.